Sr2CuBiSe: relaxed, GGA-PBE.

```
data_Sr2CuBiSe
_symmetry_space_group_name_H-M 'P 1'
_symmetry_Int_Tables_number 1
_symmetry_space_group_name_Hall 'P 1'
_cell_length_a 5.961
_cell_length_b 4.579
_cell_length_c 5.961
_cell_angle_alpha 90.00
_cell_angle_beta 90.00
_cell_angle_gamma 90.00
loop_
_atom_site_label
_atom_site_type_symbol
_atom_site_fract_x
_atom_site_fract_y
_atom_site_fract_z
Sr1 Sr 0.000 0.000 0.500
Sr2 Sr 0.500 0.000 0.000
Cu1 Cu 0.000 0.500 0.000
Bi1 Bi 0.500 0.500 0.500
Se1 Se 0.000 0.000 0.000
```

Calculated values
SG: P4/mmm, No. 123
density: 5.4 Mg/m³
uncorrected formation energy: -796 meV/atom

=====

TiCuBi2Se: relaxed, GGA-PBE.

```
data_TiCuBi2Se
_symmetry_space_group_name_H-M 'P 1'
_symmetry_Int_Tables_number 1
_symmetry_space_group_name_Hall 'P 1'
_cell_length_a 5.707
_cell_length_b 4.331
_cell_length_c 5.707
_cell_angle_alpha 90.00
_cell_angle_beta 90.00
_cell_angle_gamma 90.00
loop_
_atom_site_label
_atom_site_type_symbol
_atom_site_fract_x
_atom_site_fract_y
_atom_site_fract_z
Cu1 Cu 0.000 0.500 0.000
Bi1 Bi 0.000 0.000 0.500
Bi2 Bi 0.500 0.000 0.000
Se1 Se 0.000 0.000 0.000
Ti1 Ti 0.500 0.500 0.500
```

Calculated values
SG: P4/mmm, No. 123
density: 7.2 Mg/m³
uncorrected formation energy: 671 meV/atom

=====

Tl2Cu2BiSe4: relaxed, GGA-PBE.

```
data_Tl2Cu2BiSe4
_symmetry_space_group_name_H-M 'P 1'
_symmetry_Int_Tables_number 1
_symmetry_space_group_name_Hall 'P 1'
_cell_length_a 4.034
_cell_length_b 7.971
_cell_length_c 7.970
_cell_angle_alpha 109.90
_cell_angle_beta 104.66
_cell_angle_gamma 90.00
loop_
_atom_site_label
_atom_site_type_symbol
_atom_site_fract_x
_atom_site_fract_y
_atom_site_fract_z
Tl1 Tl 0.129 0.550 0.259
Tl2 Tl 0.871 0.450 0.741
Cu1 Cu 0.695 0.000 0.390
Cu2 Cu 0.305 0.000 0.610
Bi1 Bi 0.000 0.000 0.000
Se1 Se 0.204 0.186 0.408
Se2 Se 0.796 0.814 0.592
Se3 Se 0.532 0.761 0.064
Se4 Se 0.468 0.239 0.936
```

Calculated values
SG: C2/m, No. 12
density: 7.6 Mg/m³
uncorrected formation energy: -308 meV/atom

=====

TlCuBiSe3: relaxed, GGA-PBE.

```
data_TlCuBiSe3
_symmetry_space_group_name_H-M 'P 1'
_symmetry_Int_Tables_number 1
_symmetry_space_group_name_Hall 'P 1'
_cell_length_a 4.100
_cell_length_b 9.358
_cell_length_c 9.353
_cell_angle_alpha 105.99
_cell_angle_beta 90.00
_cell_angle_gamma 90.00
loop_
_atom_site_label
_atom_site_type_symbol
_atom_site_fract_x
_atom_site_fract_y
_atom_site_fract_z
Tl1 Tl 0.750 0.817 0.787
Tl2 Tl 0.250 0.183 0.213
Cu1 Cu 0.250 0.078 0.577
Cu2 Cu 0.750 0.922 0.423
Bi1 Bi 0.250 0.667 0.147
Bi2 Bi 0.750 0.333 0.853
Se1 Se 0.250 0.808 0.487
Se2 Se 0.750 0.891 0.149
Se3 Se 0.750 0.446 0.171
Se4 Se 0.750 0.192 0.513
Se5 Se 0.250 0.554 0.829
Se6 Se 0.250 0.109 0.851
```

Calculated values
SG: P2_1/m, No. 11
density: 6.9 Mg/m³
uncorrected formation energy: -300 meV/atom

=====

TlCuBi2Se: relaxed, GGA-PBE.

```
data_TlCuBi2Se
_symmetry_space_group_name_H-M 'P 1'
_symmetry_Int_Tables_number 1
_symmetry_space_group_name_Hall 'P 1'
_cell_length_a 5.878
_cell_length_b 5.314
_cell_length_c 5.878
_cell_angle_alpha 90.00
_cell_angle_beta 90.00
_cell_angle_gamma 90.00
loop_
_atom_site_label
_atom_site_type_symbol
_atom_site_fract_x
_atom_site_fract_y
_atom_site_fract_z
Tl1 Tl 0.000 0.000 0.000
Cu1 Cu 0.500 0.500 0.500
Bi1 Bi 0.000 0.000 0.500
Bi2 Bi 0.500 0.000 0.000
Se1 Se 0.000 0.500 0.000
```

Calculated values
SG: P4/mmm, No. 123
density: 6.9 Mg/m³
uncorrected formation energy: 1087 meV/atom

=====

Tl3CuBi2Se6: relaxed, GGA-PBE.

```
data_Tl3CuBi2Se6
_symmetry_space_group_name_H-M 'P 1'
_symmetry_Int_Tables_number 1
_symmetry_space_group_name_Hall 'P 1'
_cell_length_a 7.221
_cell_length_b 7.221
_cell_length_c 7.749
_cell_angle_alpha 99.98
_cell_angle_beta 99.98
_cell_angle_gamma 119.00
loop_
_atom_site_label
_atom_site_type_symbol
_atom_site_fract_x
_atom_site_fract_y
_atom_site_fract_z
Tl1 Tl 0.182 0.818 0.500
Tl2 Tl 0.818 0.182 0.500
Tl3 Tl 0.500 0.500 0.500
Cu1 Cu 0.000 0.000 0.000
Bi1 Bi 0.338 0.662 0.000
Bi2 Bi 0.662 0.338 0.000
Se1 Se 0.932 0.640 0.803
Se2 Se 0.754 0.754 0.242
Se3 Se 0.068 0.360 0.197
Se4 Se 0.640 0.932 0.803
Se5 Se 0.246 0.246 0.758
Se6 Se 0.360 0.068 0.197
```

Calculated values
SG: C2/m, No. 12
density: 7.8 Mg/m³
uncorrected formation energy: -301 meV/atom

=====

ZrCuBi2Se: relaxed, GGA-PBE.

```
data_ZrCuBi2Se
_symmetry_space_group_name_H-M 'P 1'
_symmetry_Int_Tables_number 1
_symmetry_space_group_name_Hall 'P 1'
_cell_length_a 5.692
_cell_length_b 4.345
_cell_length_c 5.692
_cell_angle_alpha 90.00
_cell_angle_beta 90.00
_cell_angle_gamma 90.00
loop_
_atom_site_label
_atom_site_type_symbol
_atom_site_fract_x
_atom_site_fract_y
_atom_site_fract_z
Cu1 Cu 0.000 0.500 0.000
Se1 Se 0.000 0.000 0.000
Bi1 Bi 0.000 0.000 0.500
Bi2 Bi 0.500 0.000 0.000
Zr1 Zr 0.500 0.500 0.500
```

Calculated values
SG: P4/mmm, No. 123
density: 7.7 Mg/m³
uncorrected formation energy: 499 meV/atom

=====

Cu2SiBi: relaxed, GGA-PBE.

```
data_Cu2SiBi
_symmetry_space_group_name_H-M 'P 1'
_symmetry_Int_Tables_number 1
_symmetry_space_group_name_Hall 'P 1'
_cell_length_a 4.463
_cell_length_b 4.463
_cell_length_c 8.458
_cell_angle_alpha 74.70
_cell_angle_beta 74.70
_cell_angle_gamma 90.00
loop_
_atom_site_label
_atom_site_type_symbol
_atom_site_fract_x
_atom_site_fract_y
_atom_site_fract_z
Si1 Si 0.500 0.500 0.000
Si2 Si 0.250 0.750 0.500
Bi1 Bi 0.000 0.000 0.000
Bi2 Bi 0.750 0.250 0.500
Cu1 Cu 0.502 0.125 0.250
Cu2 Cu 0.248 0.625 0.250
Cu3 Cu 0.375 0.498 0.750
Cu4 Cu 0.875 0.752 0.750
```

Calculated values
SG: I-42d, No. 122
density: 7.7 Mg/m³
relative energy among the computed polymorphs: 0.000 eV per atom
uncorrected formation energy: 208 meV/atom

=====

Cu2SiBi: relaxed, GGA-PBE.

```
data_Cu2SiBi
_symmetry_space_group_name_H-M 'P 1'
_symmetry_Int_Tables_number 1
_symmetry_space_group_name_Hall 'P 1'
_cell_length_a 4.662
_cell_length_b 4.662
_cell_length_c 4.662
_cell_angle_alpha 60.00
_cell_angle_beta 60.00
_cell_angle_gamma 60.00
loop_
_atom_site_label
_atom_site_type_symbol
_atom_site_fract_x
_atom_site_fract_y
_atom_site_fract_z
Si1 Si 0.000 0.000 0.000
Bi1 Bi 0.500 0.500 0.500
Cu1 Cu 0.250 0.250 0.250
Cu2 Cu 0.750 0.750 0.750
```

Calculated values
SG: Fm-3m, No. 225
density: 8.4 Mg/m³
relative energy among the computed polymorphs: 0.233 eV per atom
uncorrected formation energy: 442 meV/atom

=====

CuSi2Bi: relaxed, GGA-PBE.

```
data_CuSi2Bi
_symmetry_space_group_name_H-M 'P 1'
_symmetry_Int_Tables_number 1
_symmetry_space_group_name_Hall 'P 1'
_cell_length_a 4.682
_cell_length_b 4.682
_cell_length_c 8.541
_cell_angle_alpha 74.09
_cell_angle_beta 74.09
_cell_angle_gamma 90.00
loop_
_atom_site_label
_atom_site_type_symbol
_atom_site_fract_x
_atom_site_fract_y
_atom_site_fract_z
Si1 Si 0.487 0.125 0.250
Si2 Si 0.263 0.625 0.250
Si3 Si 0.375 0.513 0.750
Si4 Si 0.875 0.737 0.750
Bi1 Bi 0.000 0.000 0.000
Bi2 Bi 0.750 0.250 0.500
Cu1 Cu 0.500 0.500 0.000
Cu2 Cu 0.250 0.750 0.500
```

Calculated values
SG: I-42d, No. 122
density: 6.3 Mg/m³
uncorrected formation energy: 369 meV/atom

=====

CuSiBi3: relaxed, GGA-PBE.

```
data_CuSiBi3
_symmetry_space_group_name_H-M 'P 1'
_symmetry_Int_Tables_number 1
_symmetry_space_group_name_Hall 'P 1'
_cell_length_a 5.401
_cell_length_b 5.401
_cell_length_c 5.401
_cell_angle_alpha 90.00
_cell_angle_beta 90.00
_cell_angle_gamma 90.00
loop_
_atom_site_label
_atom_site_type_symbol
_atom_site_fract_x
_atom_site_fract_y
_atom_site_fract_z
Si1 Si 0.000 0.000 0.000
Bi1 Bi 0.000 0.500 0.000
Bi2 Bi 0.000 0.000 0.500
Bi3 Bi 0.500 0.000 0.000
Cu1 Cu 0.500 0.500 0.500
```

Calculated values
SG: Pm-3m, No. 221
density: 7.6 Mg/m³
relative energy among the computed polymorphs: 0.204 eV per atom
uncorrected formation energy: 914 meV/atom

=====

CuSiBi3: relaxed, GGA-PBE.

```
data_CuSiBi3
_symmetry_space_group_name_H-M 'P 1'
_symmetry_Int_Tables_number 1
_symmetry_space_group_name_Hall 'P 1'
_cell_length_a 5.238
_cell_length_b 5.238
_cell_length_c 5.238
_cell_angle_alpha 90.00
_cell_angle_beta 90.00
_cell_angle_gamma 90.00
loop_
_atom_site_label
_atom_site_type_symbol
_atom_site_fract_x
_atom_site_fract_y
_atom_site_fract_z
Si1 Si 0.500 0.500 0.500
Bi1 Bi 0.000 0.500 0.000
Bi2 Bi 0.000 0.000 0.500
Bi3 Bi 0.500 0.000 0.000
Cu1 Cu 0.000 0.000 0.000
```

Calculated values
SG: Pm-3m, No. 221
density: 8.3 Mg/m³
relative energy among the computed polymorphs: 0.000 eV per atom
uncorrected formation energy: 710 meV/atom

=====

SrCuSi2Bi: relaxed, GGA-PBE.

```
data_SrCuSi2Bi
_symmetry_space_group_name_H-M 'P 1'
_symmetry_Int_Tables_number 1
_symmetry_space_group_name_Hall 'P 1'
_cell_length_a 5.508
_cell_length_b 5.136
_cell_length_c 5.508
_cell_angle_alpha 90.00
_cell_angle_beta 90.00
_cell_angle_gamma 90.00
loop_
_atom_site_label
_atom_site_type_symbol
_atom_site_fract_x
_atom_site_fract_y
_atom_site_fract_z
Sr1 Sr 0.000 0.000 0.000
Si1 Si 0.000 0.000 0.500
Si2 Si 0.500 0.000 0.000
Bi1 Bi 0.500 0.500 0.500
Cu1 Cu 0.000 0.500 0.000
```

Calculated values
SG: P4/mmm, No. 123
density: 4.4 Mg/m³
uncorrected formation energy: 1403 meV/atom

=====

CuSiTc2Bi: relaxed, GGA-PBE.

```
data_CuSiTc2Bi
_symmetry_space_group_name_H-M 'P 1'
_symmetry_Int_Tables_number 1
_symmetry_space_group_name_Hall 'P 1'
_cell_length_a 4.765
_cell_length_b 4.109
_cell_length_c 4.765
_cell_angle_alpha 90.00
_cell_angle_beta 90.00
_cell_angle_gamma 90.00
loop_
_atom_site_label
_atom_site_type_symbol
_atom_site_fract_x
_atom_site_fract_y
_atom_site_fract_z
Si1 Si 0.000 0.500 0.000
Bi1 Bi 0.500 0.500 0.500
Cu1 Cu 0.000 0.000 0.000
Tc1 Tc 0.000 0.000 0.500
Tc2 Tc 0.500 0.000 0.000
```

Calculated values
SG: P4/mmm, No. 123
density: 8.8 Mg/m³
uncorrected formation energy: 1120 meV/atom

=====

CuSiBiTe2: relaxed, GGA-PBE.

```
data_CuSiBiTe2
_symmetry_space_group_name_H-M 'P 1'
_symmetry_Int_Tables_number 1
_symmetry_space_group_name_Hall 'P 1'
_cell_length_a 5.412
_cell_length_b 5.412
_cell_length_c 4.418
_cell_angle_alpha 90.00
_cell_angle_beta 90.00
_cell_angle_gamma 90.00
loop_
_atom_site_label
_atom_site_type_symbol
_atom_site_fract_x
_atom_site_fract_y
_atom_site_fract_z
Si1 Si 0.000 0.000 0.500
Te1 Te 0.000 0.500 0.000
Te2 Te 0.500 0.000 0.000
Bi1 Bi 0.500 0.500 0.500
Cu1 Cu 0.000 0.000 0.000
```

Calculated values
SG: P4/mmm, No. 123
density: 7.1 Mg/m³
uncorrected formation energy: 370 meV/atom

=====

Cu2SiBiTe: relaxed, GGA-PBE.

```
data_Cu2SiBiTe
_symmetry_space_group_name_H-M 'P 1'
_symmetry_Int_Tables_number 1
_symmetry_space_group_name_Hall 'P 1'
_cell_length_a 4.872
_cell_length_b 4.872
_cell_length_c 6.304
_cell_angle_alpha 90.00
_cell_angle_beta 90.00
_cell_angle_gamma 90.00
loop_
_atom_site_label
_atom_site_type_symbol
_atom_site_fract_x
_atom_site_fract_y
_atom_site_fract_z
Si1 Si 0.500 0.500 0.500
Te1 Te 0.000 0.000 0.500
Bi1 Bi 0.000 0.000 0.000
Cu1 Cu 0.000 0.500 0.000
Cu2 Cu 0.500 0.000 0.000
```

Calculated values
SG: P4/mmm, No. 123
density: 5.5 Mg/m³
uncorrected formation energy: 993 meV/atom

=====

SmCuBi2: relaxed, GGA-PBE.

```
data_SmCuBi2
_symmetry_space_group_name_H-M 'P 1'
_symmetry_Int_Tables_number 1
_symmetry_space_group_name_Hall 'P 1'
_cell_length_a 4.401
_cell_length_b 4.854
_cell_length_c 4.854
_cell_angle_alpha 90.00
_cell_angle_beta 90.00
_cell_angle_gamma 90.00
loop_
_atom_site_label
_atom_site_type_symbol
_atom_site_fract_x
_atom_site_fract_y
_atom_site_fract_z
Cu1 Cu 0.500 0.000 0.000
Bi1 Bi 0.000 0.000 0.500
Bi2 Bi 0.000 0.500 0.000
Sm1 Sm 0.500 0.500 0.500
```

Calculated values
DFT total energy: -4.417 eV per atom
SG: P4/mmm, No. 123
density: 10.1 Mg/m³

=====

Sm3CuBi: relaxed, GGA-PBE.

```
data_Sm3CuBi
_symmetry_space_group_name_H-M 'P 1'
_symmetry_Int_Tables_number 1
_symmetry_space_group_name_Hall 'P 1'
_cell_length_a 5.136
_cell_length_b 4.439
_cell_length_c 12.389
_cell_angle_alpha 100.32
_cell_angle_beta 93.98
_cell_angle_gamma 90.00
loop_
_atom_site_label
_atom_site_type_symbol
_atom_site_fract_x
_atom_site_fract_y
_atom_site_fract_z
Sm1 Sm 0.733 0.950 0.901
Sm2 Sm 0.267 0.050 0.099
Sm3 Sm 0.305 0.658 0.317
Sm4 Sm 0.695 0.342 0.683
Sm5 Sm 0.180 0.814 0.628
Sm6 Sm 0.820 0.186 0.372
Cu1 Cu 0.355 0.243 0.485
Cu2 Cu 0.645 0.757 0.515
Bi1 Bi 0.228 0.432 0.863
Bi2 Bi 0.772 0.568 0.137
```

Calculated values
DFT total energy: -4.809 eV per atom
SG: C2/m, No. 12
density: 8.7 Mg/m³

=====

Sm4CuBi2: relaxed, GGA-PBE.

```
data_Sm4CuBi2
_symmetry_space_group_name_H-M 'P 1'
_symmetry_Int_Tables_number 1
_symmetry_space_group_name_Hall 'P 1'
_cell_length_a 4.369
_cell_length_b 7.662
_cell_length_c 8.357
_cell_angle_alpha 118.74
_cell_angle_beta 105.15
_cell_angle_gamma 90.00
loop_
_atom_site_label
_atom_site_type_symbol
_atom_site_fract_x
_atom_site_fract_y
_atom_site_fract_z
Sm1 Sm 0.890 0.205 0.779
Sm2 Sm 0.110 0.795 0.221
Sm3 Sm 0.617 0.259 0.233
Sm4 Sm 0.383 0.741 0.767
Cu1 Cu 0.000 0.000 0.000
Bi1 Bi 0.735 0.736 0.471
Bi2 Bi 0.265 0.264 0.529
```

Calculated values
DFT total energy: -4.764 eV per atom
SG: C2/m, No. 12
density: 7.7 Mg/m³

=====

Sm5CuBi4: relaxed, GGA-PBE.

```
data_Sm5CuBi4
_symmetry_space_group_name_H-M 'P 1'
_symmetry_Int_Tables_number 1
_symmetry_space_group_name_Hall 'P 1'
_cell_length_a 6.372
_cell_length_b 7.785
_cell_length_c 7.785
_cell_angle_alpha 80.36
_cell_angle_beta 65.84
_cell_angle_gamma 65.84
loop_
_atom_site_label
_atom_site_type_symbol
_atom_site_fract_x
_atom_site_fract_y
_atom_site_fract_z
Sm1 Sm 0.898 0.398 0.808
Sm2 Sm 0.296 0.808 0.602
Sm3 Sm 0.706 0.192 0.398
Sm4 Sm 0.104 0.602 0.192
Sm5 Sm 0.501 0.000 0.000
Cu1 Cu 0.001 0.000 0.000
Bi1 Bi 0.405 0.397 0.794
Bi2 Bi 0.802 0.794 0.603
Bi3 Bi 0.200 0.206 0.397
Bi4 Bi 0.597 0.603 0.206
```

Calculated values
DFT total energy: -4.983 eV per atom
SG: I4/m, No. 87
density: 8.5 Mg/m³